Al2ReRu, relaxed, DFT GGA-PBE; E = -29.96 eV per formula unit; energy relative to the elements = -187 meV/atom; magnetization = 0.00 μB per cell
1.0
-0.612 -2.434 -4.442
0.202 -2.643 4.192
-2.644 -0.702 0.430
Al Ru Re
2 1 1
Cartesian
0.000 0.000 0.000
-1.628 -1.568 -2.006
-0.205 -2.539 -0.125
-1.221 -1.673 2.311

Al2ReRu, relaxed, DFT GGA-PBE; E = -29.97 eV per formula unit; energy relative to the elements = -191 meV/atom; magnetization = 0.00 μB per cell
1.0
4.108 0.000 0.000
0.000 2.776 0.000
0.000 0.533 5.057
Re Ru Al
1 1 2
Cartesian
2.054 0.827 1.264
2.054 2.482 3.793
0.000 1.730 2.549
0.000 3.235 5.036

AlRe2Ru, relaxed, DFT GGA-PBE; E = -37.84 eV per formula unit; energy relative to the elements = 20 meV/atom; magnetization = 0.00 μB per cell
1.0
-0.092 -0.719 4.790
2.955 -2.861 -2.559
2.060 1.844 0.316
Re Ru Al
2 1 1
Cartesian
0.000 0.000 0.000
1.432 -1.790 1.115
0.984 0.562 2.553
2.507 -0.509 -1.121

AlRe2Ru, relaxed, DFT GGA-PBE; E = -38.31 eV per formula unit; energy relative to the elements = -99 meV/atom; magnetization = 0.00 μB per cell
1.0
3.935 0.000 0.000
0.000 2.804 -0.017
0.000 2.749 5.289
Re Al Ru
2 1 1
Cartesian
0.000 0.053 0.033
1.967 1.331 1.219
1.967 4.179 3.863
0.000 2.767 2.794

Al2ReRu, relaxed, DFT GGA-PBE; E = -29.94 eV per formula unit; energy relative to the elements = -184 meV/atom; magnetization = 0.00 μB per cell
1.0
2.828 0.002 0.000
-0.002 2.828 0.000
0.000 0.000 7.565
Al Re Ru
2 1 1
Cartesian
1.413 1.415 2.058
0.000 0.000 7.345
0.000 0.000 3.902
1.413 1.415 5.608

Al2ReRu, relaxed, DFT GGA-PBE; E = -30.40 eV per formula unit; energy relative to the elements = -297 meV/atom; magnetization = 0.00 μB per cell
1.0
5.216 -0.001 -0.001
2.663 4.485 0.001
-3.532 -2.957 2.446
Ru Al Re
1 2 1
Cartesian
1.555 1.897 1.223
0.118 0.067 0.000
2.736 -0.401 1.223
3.876 2.206 0.000

AlRe2Ru, relaxed, DFT GGA-PBE; E = -37.62 eV per formula unit; energy relative to the elements = 73 meV/atom; magnetization = 0.00 μB per cell
1.0
-1.339 0.023 -2.380
0.173 -2.442 1.211
-7.446 1.558 4.205
Al Ru Re
1 1 2
Cartesian
-6.115 -0.052 2.539
-3.785 0.792 2.138
-7.425 1.553 4.193
-2.456 -0.818 0.473

AlRe2Ru, relaxed, DFT GGA-PBE; E = -37.21 eV per formula unit; energy relative to the elements = 176 meV/atom; magnetization = 0.00 μB per cell
1.0
2.712 -0.005 0.000
-1.135 2.463 0.000
0.000 0.000 8.820
Al Ru Re
1 1 2
Cartesian
0.788 1.229 6.615
0.788 1.229 2.205
0.000 0.000 8.807
0.000 0.000 4.423

AlRe2Ru, relaxed, DFT GGA-PBE; E = -38.20 eV per formula unit; energy relative to the elements = -71 meV/atom; magnetization = 0.00 μB per cell
1.0
5.096 0.002 0.002
2.298 4.549 -0.002
-3.166 -3.139 2.469
Re Al Ru
2 1 1
Cartesian
2.831 -0.420 1.236
0.054 0.033 0.000
1.435 1.855 1.234
3.607 2.220 0.000

Al2ReRu, relaxed, DFT GGA-PBE; E = -30.02 eV per formula unit; energy relative to the elements = -202 meV/atom; magnetization = 0.00 μB per cell
1.0
-1.731 -0.779 2.000
0.311 -1.884 -1.989
6.312 -3.351 4.160
Al Re Ru
2 1 1
Cartesian
6.262 -3.324 4.126
3.206 -1.702 2.113
0.868 -2.169 1.045
4.024 -3.845 3.125

Al2ReRu, relaxed, DFT GGA-PBE; E = -29.81 eV per formula unit; energy relative to the elements = -150 meV/atom; magnetization = 0.00 μB per cell
1.0
5.043 0.001 0.001
1.976 4.640 -0.001
-2.816 -3.369 2.480
Re Ru Al
1 1 2
Cartesian
2.868 -0.524 1.240
1.335 1.795 1.239
3.463 2.289 0.000
0.047 0.031 0.000

AlReRu, relaxed, DFT GGA-PBE; E = -25.92 eV per formula unit; energy relative to the elements = -153 meV/atom; magnetization = 0.00 μB per cell
1.0
2.788 0.000 0.000
-1.394 2.414 0.000
0.000 0.000 6.480
Al Ru Re
1 1 1
Cartesian
0.000 0.000 6.445
1.394 0.805 4.300
0.000 1.610 2.214